This record from the Open Quantum Materials Database describes DyErInFe2 after structural relaxation. The functional is GGA-PBE.

```
data_DyErInFe2
_chemical_formula_sum 'Dy2 Er2 In2 Fe4'
_cell_length_a 3.880
_cell_length_b 3.794
_cell_length_c 13.779
_cell_angle_alpha 90.00
_cell_angle_beta 90.00
_cell_angle_gamma 90.00
_space_group_name_H-M_alt 'A m m 2'
_space_group_IT_number 38
loop_
_space_group_symop_operation_xyz
'x,y,z'
'-x,-y,z'
'-x,y,z'
'x,-y,z'
'x,y+1/2,z+1/2'
'-x,-y+1/2,z+1/2'
'-x,y+1/2,z+1/2'
'x,-y+1/2,z+1/2'
loop_
_atom_site_label
_atom_site_fract_x
_atom_site_fract_y
_atom_site_fract_z
Dy1 0.000 0.000 0.000
Er1 0.000 0.000 0.724
In1 0.500 0.000 0.361
Fe1 0.500 0.000 0.154
Fe2 0.500 0.000 0.572
```

---

This record from the Open Quantum Materials Database describes Dy2Er3Lu2Fe2Te2 after structural relaxation. The functional is GGA-PBE.

```
data_Dy2Er3Lu2Fe2Te2
_chemical_formula_sum 'Dy4 Er6 Lu4 Fe4 Te4'
_cell_length_a 3.855
_cell_length_b 15.493
_cell_length_c 9.245
_cell_angle_alpha 90.00
_cell_angle_beta 90.00
_cell_angle_gamma 90.00
_space_group_name_H-M_alt 'I m m 2'
_space_group_IT_number 44
loop_
_space_group_symop_operation_xyz
'x,y,z'
'-x,-y,z'
'-x,y,z'
'x,-y,z'
'x+1/2,y+1/2,z+1/2'
'-x+1/2,-y+1/2,z+1/2'
'-x+1/2,y+1/2,z+1/2'
'x+1/2,-y+1/2,z+1/2'
loop_
_atom_site_label
_atom_site_fract_x
_atom_site_fract_y
_atom_site_fract_z
Dy1 0.000 0.150 0.000
Er1 0.000 0.363 0.849
Er2 0.000 0.500 0.266
Lu1 0.000 0.186 0.640
Fe1 0.000 0.265 0.331
Te1 0.000 0.000 0.500
Te2 0.000 0.500 0.603
```

---

This record from the Open Quantum Materials Database describes Dy2YEr2Lu2Fe2Te2 after structural relaxation. The functional is GGA-PBE.

```
data_Dy2YEr2Lu2Fe2Te2
_chemical_formula_sum 'Dy4 Y2 Er4 Lu4 Fe4 Te4'
_cell_length_a 3.852
_cell_length_b 15.579
_cell_length_c 9.304
_cell_angle_alpha 90.00
_cell_angle_beta 90.00
_cell_angle_gamma 90.00
_space_group_name_H-M_alt 'I m m 2'
_space_group_IT_number 44
loop_
_space_group_symop_operation_xyz
'x,y,z'
'-x,-y,z'
'-x,y,z'
'x,-y,z'
'x+1/2,y+1/2,z+1/2'
'-x+1/2,-y+1/2,z+1/2'
'-x+1/2,y+1/2,z+1/2'
'x+1/2,-y+1/2,z+1/2'
loop_
_atom_site_label
_atom_site_fract_x
_atom_site_fract_y
_atom_site_fract_z
Dy1 0.000 0.136 0.000
Y1 0.000 0.000 0.583
Er1 0.000 0.349 0.850
Lu1 0.000 0.313 0.207
Fe1 0.000 0.236 0.514
Te1 0.000 0.000 0.249
Te2 0.000 0.500 0.346
```

---

Respective E_tot values: -5.914, -5.483, -5.664 eV/atom.